The following is a PBE calculation of a geometry-optimized Nd2SmGa structure, from Alexandria.

The space group is R3m (No. 160, hexagonal axes) and the conventional cell measures 3.7337, 3.7337 and 31.3980 Å, with angles of 90.00, 90.00 and 120.00 degrees. The inequivalent atoms are Nd at (0.0000, 0.0000, 0.0000), Nd at (0.0000, 0.0000, 0.1920), Sm at (0.0000, 0.0000, 0.4296) and Ga at (0.0000, 0.0000, 0.5957).

For the formation energy, the calculation gives -14.9 kJ per mole of atoms. The energy above the most stable polymorph in this dataset is 0.35 eV per formula unit.

The following is a PBE calculation of a geometry-optimized Li3ScCu3 structure, from Alexandria.

The space group is Pm-3n (No. 223) and the conventional cell measures 6.288, 6.288 and 6.288 Å, with angles of 90.00, 90.00 and 90.00 degrees. The inequivalent atoms are Li at (0.000, 0.250, 0.500), Sc at (0.000, 0.000, 0.000) and Cu at (0.000, 0.500, 0.250).

For the formation energy, the calculation gives 51.3 kJ per mole of atoms.

The following is a PBE calculation of a geometry-optimized PmTeS structure, from Alexandria.

The space group is P-6m2 (No. 187) and the conventional cell measures 4.7124, 4.7124 and 4.3684 Å, with angles of 90.00, 90.00 and 120.00 degrees. The inequivalent atoms are Pm at (0.0000, 0.0000, 0.0000), Te at (0.6667, 0.3333, 0.5000) and S at (0.3333, 0.6667, 0.0000).

The formation energy from raw total energies comes out at -1197.4 meV per atom. The energy above the most stable polymorph in this dataset is 1.06 eV per formula unit.

The following is a PBE calculation of a geometry-optimized NaLaS2O6 structure, from Alexandria.

The space group is C2/c (No. 15) and the conventional cell measures 7.801, 10.607 and 7.772 Å, with angles of 90.00, 93.75 and 90.00 degrees. The inequivalent atoms are Na at (0.000, 0.172, 0.250), La at (0.000, 0.414, 0.750), S at (0.215, 0.118, 0.864), O at (0.089, 0.387, 0.068), O at (0.204, 0.002, 0.744) and O at (0.207, 0.234, 0.745).

The formation energy from raw total energies comes out at -2011.1 meV per atom.

The following is a PBE calculation of a geometry-optimized Rb2Ca2Au structure, from Alexandria.

The space group is P4/mbm (No. 127) and the conventional cell measures 8.040, 8.040 and 7.436 Å, with angles of 90.00, 90.00 and 90.00 degrees. The inequivalent atoms are Rb at (0.183, 0.317, 0.000), Ca at (0.176, 0.676, 0.500) and Au at (0.000, 0.000, 0.500).

For the formation energy, the calculation gives -7.3 kJ per mole of atoms.

The following is a PBE calculation of a geometry-optimized KReRh3 structure, from Alexandria.

The space group is Pm-3m (No. 221) and the conventional cell measures 4.525, 4.525 and 4.525 Å, with angles of 90.00, 90.00 and 90.00 degrees. The inequivalent atoms are K at (0.000, 0.000, 0.000), Re at (0.500, 0.500, 0.500) and Rh at (0.000, 0.000, 0.500).

For the formation energy, the calculation gives 272.1 kJ per mole of atoms. The energy above the most stable polymorph in this dataset is 9.80 eV per formula unit.

The following is a PBE calculation of a geometry-optimized CaCeNd2P4 structure, from Alexandria.

The space group is P2/m (No. 10) and the conventional cell measures 7.136, 4.155 and 7.161 Å, with angles of 90.00, 109.13 and 90.00 degrees. The inequivalent atoms are Ca at (0.000, 0.000, 0.000), Ce at (0.500, 0.500, 0.000), Nd at (0.000, 0.500, 0.500), Nd at (0.500, 0.000, 0.500), P at (0.258, 0.000, 0.757) and P at (0.258, 0.500, 0.246).

For the formation energy, the calculation gives -135.2 kJ per mole of atoms.

The following is a PBE calculation of a geometry-optimized Sc3Ta5Ti12 structure, from Alexandria.

The space group is Ia-3d (No. 230) and the conventional cell measures 15.548, 15.548 and 15.548 Å, with angles of 90.00, 90.00 and 90.00 degrees. The inequivalent atoms are Sc at (0.000, 0.250, 0.125), Ta at (0.000, 0.000, 0.000), Ta at (0.000, 0.250, 0.375) and Ti at (0.046, 0.072, 0.632).

For the formation energy, the calculation gives 143.2 kJ per mole of atoms.

no.,uncorrected energy (eV per atom),V (Å³ per cell)
1,-4.48,379
2,-2.95,249
3,-5.20,84
4,-6.44,642
5,-1.92,481
6,-4.30,93
7,-6.29,201
8,-7.17,3759